Record 1
DFT (PBE-GGA) results for a geometry-optimized MnNbTe2 structure.

ΔE to the lowest computed polymorph (eV/f.u.): 0.000
Energy (eV/atom): -6.713
Calculated density (kg/m3): 6630
E_form (uncorrected) (meV/atom): -332

```
data_MnNbTe2
_cell_length_a 8.798
_cell_length_b 6.360
_cell_length_c 8.133
_cell_angle_alpha 90.00
_cell_angle_beta 117.47
_cell_angle_gamma 90.00
_space_group_name_H-M_alt 'P 1 21/c 1'
_space_group_IT_number 14
loop_
_space_group_symop_operation_xyz
'x,y,z'
'-x,-y,-z'
'-x,y+1/2,-z+1/2'
'x,-y+1/2,z+1/2'
loop_
_atom_site_label
_atom_site_type_symbol
_atom_site_fract_x
_atom_site_fract_y
_atom_site_fract_z
Mn1 Mn 0.123 0.150 0.061
Nb1 Nb 0.000 0.000 0.283
Te1 Te 0.210 0.743 0.105
Te2 Te 0.313 0.250 0.406
```


Record 2
DFT (PBE-GGA) results for a geometry-optimized Ac8Pt3RhSe4 structure.

Energy (eV/atom): -5.979
Calculated density (kg/m3): 9212
E_form (uncorrected) (meV/atom): -1462

```
data_Ac8Pt3RhSe4
_cell_length_a 8.6928
_cell_length_b 8.6928
_cell_length_c 23.3014
_cell_angle_alpha 90.00
_cell_angle_beta 90.00
_cell_angle_gamma 120.00
_space_group_name_H-M_alt 'R -3 m'
_space_group_IT_number 166
_space_group_name_Hall '-R 3 2"'
loop_
_atom_site_label
_atom_site_type_symbol
_atom_site_fract_x
_atom_site_fract_y
_atom_site_fract_z
Ac1 Ac 0.0000 0.0000 0.2422
Ac2 Ac 0.0040 0.5020 0.2422
Pt1 Pt 0.0000 0.5000 0.5000
Rh1 Rh 0.0000 0.0000 0.5000
Se1 Se 0.0000 0.0000 0.0000
Se2 Se 0.0000 0.5000 0.0000
```


Record 3
DFT (PBE-GGA) results for a geometry-optimized NdSmIn2 structure.

Energy (eV/atom): -4.057
ΔE_f (eV per atom): -0.3159
Calculated density (kg/m3): 7015

```
data_NdSmIn2
_cell_length_a 3.8249
_cell_length_b 3.8249
_cell_length_c 29.3853
_cell_angle_alpha 90.00
_cell_angle_beta 90.00
_cell_angle_gamma 120.00
_space_group_name_H-M_alt 'R -3 m'
_space_group_IT_number 166
_space_group_name_Hall '-R 3 2"'
loop_
_atom_site_label
_atom_site_type_symbol
_atom_site_fract_x
_atom_site_fract_y
_atom_site_fract_z
Nd1 Nd 0.0000 0.0000 0.0000
Sm1 Sm 0.0000 0.0000 0.5000
In1 In 0.0000 0.0000 0.2491
```


Record 4
DFT (PBE-GGA) results for a geometry-optimized TaP2Pb structure.

Energy (eV/atom): -6.514
ΔE_f (eV per atom): 0.0815
Calculated density (kg/m3): 9424

```
data_TaP2Pb
_cell_length_a 3.723
_cell_length_b 4.701
_cell_length_c 4.895
_cell_angle_alpha 90.00
_cell_angle_beta 112.20
_cell_angle_gamma 90.00
_space_group_name_H-M_alt 'P 1 m 1'
_space_group_IT_number 6
loop_
_space_group_symop_operation_xyz
'x,y,z'
'x,-y,z'
loop_
_atom_site_label
_atom_site_type_symbol
_atom_site_fract_x
_atom_site_fract_y
_atom_site_fract_z
Ta1 Ta 0.000 0.000 0.000
P1 P 0.101 0.500 0.200
P2 P 0.706 0.000 0.412
Pb1 Pb 0.385 0.500 0.766
```


Record 5
DFT (PBE-GGA) results for a geometry-optimized Ce4PmBi3 structure.

Energy (eV/atom): -5.231
ΔE_f (eV per atom): -0.2144
Calculated density (kg/m3): 8310

```
data_Ce4PmBi3
_cell_length_a 17.431
_cell_length_b 5.505
_cell_length_c 5.549
_cell_angle_alpha 90.00
_cell_angle_beta 90.10
_cell_angle_gamma 90.00
_space_group_name_H-M_alt 'C 1 2/m 1'
_space_group_IT_number 12
loop_
_space_group_symop_operation_xyz
'x,y,z'
'-x,-y,-z'
'-x,y,-z'
'x,-y,z'
'x+1/2,y+1/2,z'
'-x+1/2,-y+1/2,-z'
'-x+1/2,y+1/2,-z'
'x+1/2,-y+1/2,z'
loop_
_atom_site_label
_atom_site_type_symbol
_atom_site_fract_x
_atom_site_fract_y
_atom_site_fract_z
Ce1 Ce 0.105 0.000 0.000
Ce2 Ce 0.194 0.500 0.999
Pm1 Pm 0.000 0.000 0.500
Bi1 Bi 0.000 0.500 0.000
Bi2 Bi 0.191 0.000 0.501
```


Record 6
DFT (PBE-GGA) results for a geometry-optimized AgBiSe2N structure.

ΔE to the lowest computed polymorph (eV/f.u.): 1.040
Energy (eV/atom): -3.358
Calculated density (kg/m3): 5945
E_form (uncorrected) (meV/atom): 1047

```
data_AgBiSe2N
_cell_length_a 5.551
_cell_length_b 5.551
_cell_length_c 4.431
_cell_angle_alpha 90.00
_cell_angle_beta 90.00
_cell_angle_gamma 90.00
_space_group_name_H-M_alt 'P 4/m m m'
_space_group_IT_number 123
_space_group_name_Hall '-P 4 2'
loop_
_atom_site_label
_atom_site_type_symbol
_atom_site_fract_x
_atom_site_fract_y
_atom_site_fract_z
Ag1 Ag 0.000 0.000 0.000
Bi1 Bi 0.500 0.500 0.500
Se1 Se 0.000 0.500 0.500
N1 N 0.500 0.500 0.000
```


Record 7
DFT (PBE-GGA) results for a geometry-optimized Pr6Nd2ErTm structure.

Energy (eV/atom): -4.611
ΔE_f (eV per atom): 0.1135
Calculated density (kg/m3): 6951

```
data_Pr6Nd2ErTm
_cell_length_a 9.302
_cell_length_b 15.472
_cell_length_c 9.870
_cell_angle_alpha 90.00
_cell_angle_beta 98.53
_cell_angle_gamma 90.00
_space_group_name_H-M_alt 'C 1 2/c 1'
_space_group_IT_number 15
loop_
_space_group_symop_operation_xyz
'x,y,z'
'-x,-y,-z'
'-x,y,-z+1/2'
'x,-y,z+1/2'
'x+1/2,y+1/2,z'
'-x+1/2,-y+1/2,-z'
'-x+1/2,y+1/2,-z+1/2'
'x+1/2,-y+1/2,z+1/2'
loop_
_atom_site_label
_atom_site_type_symbol
_atom_site_fract_x
_atom_site_fract_y
_atom_site_fract_z
Pr1 Pr 0.062 0.182 0.446
Pr2 Pr 0.103 0.396 0.618
Pr3 Pr 0.208 0.220 0.809
Nd1 Nd 0.245 0.049 0.043
Er1 Er 0.000 0.021 0.750
Tm1 Tm 0.000 0.409 0.250
```


Record 8
DFT (PBE-GGA) results for a geometry-optimized TaV2HPd structure.

ΔE to the lowest computed polymorph (eV/f.u.): 0.276
Energy (eV/atom): -7.749
Calculated density (kg/m3): 10353

```
data_TaV2HPd
_cell_length_a 3.858
_cell_length_b 3.858
_cell_length_c 4.205
_cell_angle_alpha 90.00
_cell_angle_beta 90.00
_cell_angle_gamma 90.00
_space_group_name_H-M_alt 'P 4/m m m'
_space_group_IT_number 123
_space_group_name_Hall '-P 4 2'
loop_
_atom_site_label
_atom_site_type_symbol
_atom_site_fract_x
_atom_site_fract_y
_atom_site_fract_z
Ta1 Ta 0.000 0.000 0.000
V1 V 0.000 0.500 0.500
H1 H 0.500 0.500 0.500
Pd1 Pd 0.500 0.500 0.000
```


Record 9
DFT (PBE-GGA) results for a geometry-optimized CsK2TiCl6 structure.

Energy (eV/atom): -4.012
Calculated density (kg/m3): 2276
E_form (uncorrected) (meV/atom): -1810

```
data_CsK2TiCl6
_cell_length_a 7.699
_cell_length_b 7.701
_cell_length_c 8.039
_cell_angle_alpha 118.61
_cell_angle_beta 90.01
_cell_angle_gamma 119.96
_space_group_name_H-M_alt 'P 1'
_space_group_IT_number 1
loop_
_space_group_symop_operation_xyz
'x,y,z'
loop_
_atom_site_label
_atom_site_type_symbol
_atom_site_fract_x
_atom_site_fract_y
_atom_site_fract_z
Cs1 Cs 0.000 0.000 0.000
K1 K 0.205 0.409 0.613
K2 K 0.719 0.437 0.156
Ti1 Ti 0.515 0.029 0.542
Cl1 Cl 0.192 0.618 0.339
Cl2 Cl 0.337 0.180 0.766
Cl3 Cl 0.427 0.148 0.339
Cl4 Cl 0.586 0.922 0.766
Cl5 Cl 0.723 0.912 0.341
Cl6 Cl 0.844 0.430 0.765
```


Record 10
DFT (PBE-GGA) results for a geometry-optimized ErTiZnPd structure.

Energy (eV/atom): -5.095
ΔE_f (eV per atom): -0.3638
Calculated density (kg/m3): 8530

```
data_ErTiZnPd
_cell_length_a 6.704
_cell_length_b 6.704
_cell_length_c 6.704
_cell_angle_alpha 90.00
_cell_angle_beta 90.00
_cell_angle_gamma 90.00
_space_group_name_H-M_alt 'F -4 3 m'
_space_group_IT_number 216
_space_group_name_Hall 'F -4 2 3'
loop_
_atom_site_label
_atom_site_type_symbol
_atom_site_fract_x
_atom_site_fract_y
_atom_site_fract_z
Er1 Er 0.000 0.000 0.000
Ti1 Ti 0.000 0.000 0.500
Zn1 Zn 0.250 0.250 0.750
Pd1 Pd 0.250 0.250 0.250
```


Record 11
DFT (PBE-GGA) results for a geometry-optimized Zn2ReCl structure.

ΔE to the lowest computed polymorph (eV/f.u.): 3.126
Energy (eV/atom): -3.269
Calculated density (kg/m3): 9175
E_form (uncorrected) (meV/atom): 942

```
data_Zn2ReCl
_cell_length_a 6.343
_cell_length_b 6.343
_cell_length_c 6.343
_cell_angle_alpha 90.00
_cell_angle_beta 90.00
_cell_angle_gamma 90.00
_space_group_name_H-M_alt 'F -4 3 m'
_space_group_IT_number 216
_space_group_name_Hall 'F -4 2 3'
loop_
_atom_site_label
_atom_site_type_symbol
_atom_site_fract_x
_atom_site_fract_y
_atom_site_fract_z
Zn1 Zn 0.000 0.000 0.000
Zn2 Zn 0.250 0.250 0.250
Re1 Re 0.000 0.000 0.500
Cl1 Cl 0.250 0.250 0.750
```


Record 12
DFT (PBE-GGA) results for a geometry-optimized NbGeSeBr2 structure.

ΔE to the lowest computed polymorph (eV/f.u.): 2.460
Energy (eV/atom): -3.721
Calculated density (kg/m3): 4802
E_form (uncorrected) (meV/atom): 582

```
data_NbGeSeBr2
_cell_length_a 5.183
_cell_length_b 5.183
_cell_length_c 5.204
_cell_angle_alpha 90.00
_cell_angle_beta 90.00
_cell_angle_gamma 90.00
_space_group_name_H-M_alt 'P 4/m m m'
_space_group_IT_number 123
_space_group_name_Hall '-P 4 2'
loop_
_atom_site_label
_atom_site_type_symbol
_atom_site_fract_x
_atom_site_fract_y
_atom_site_fract_z
Nb1 Nb 0.000 0.000 0.000
Ge1 Ge 0.500 0.500 0.500
Se1 Se 0.500 0.500 0.000
Br1 Br 0.000 0.500 0.500
```